[1]
Here is a geometry-optimized Cd3In5 structure from the Alexandria database. Energies are from PBE-GGA.

Geometry as POSCAR:
```
Cd3In5
1.0
5.5115 0.0000 0.0000
2.6608 7.8943 0.0000
1.5807 -0.0393 9.6094
Cd In
6 10
Cartesian
0.8666 0.0027 1.2097 Cd
2.7011 4.5169 0.0066 Cd
3.5489 2.5616 4.8099 Cd
6.2040 5.2935 4.7996 Cd
7.0518 3.3382 9.6029 Cd
8.8863 7.8524 8.3997 Cd
3.3877 5.0324 6.6130 In
2.0978 -0.0212 5.5619 In
3.5273 5.0718 3.0085 In
3.5978 1.6099 8.0524 In
3.4722 1.6694 1.5968 In
6.2807 6.1856 8.0126 In
6.1551 6.2451 1.5570 In
6.2256 2.7832 6.6010 In
7.6551 7.8763 4.0476 In
6.3652 2.8226 2.9964 In
```

## Properties
E_tot in eV per atom: -2.019

[2]
Here is a geometry-optimized NbGeTe4 structure from the Alexandria database. Energies are from PBE-GGA.

Geometry as POSCAR:
```
NbGeTe4
1.0
6.1593 0.0000 0.0000
0.0000 6.1593 0.0000
0.0000 0.0000 11.7712
Nb Ge Te
2 2 8
Cartesian
0.0000 0.0000 0.0000 Nb
0.0000 0.0000 5.8856 Nb
0.0000 3.0796 2.9428 Ge
3.0796 0.0000 8.8284 Ge
1.5545 1.6210 10.3776 Te
1.5545 4.5382 7.2792 Te
1.6210 1.5545 4.4920 Te
1.6210 4.6048 1.3936 Te
4.5382 1.5545 1.3936 Te
4.5382 4.6048 4.4920 Te
4.6048 1.6210 7.2792 Te
4.6048 4.5382 10.3776 Te
```

## Properties
Formation energy from raw total energies in meV per atom: -33

[3]
Here is a geometry-optimized Ta8OsW2 structure from the Alexandria database. Energies are from PBE-GGA.

Geometry as POSCAR:
```
Ta8OsW2
1.0
7.1719 -2.6587 0.0000
7.1719 2.6587 0.0000
-1.1186 0.0000 5.1689
Ta Os W
8 1 2
Cartesian
-0.2635 0.0000 1.2693 Ta
4.3483 1.3382 2.1303 Ta
4.6208 0.0000 4.8658 Ta
8.8769 1.3382 3.0385 Ta
4.3483 -1.3382 2.1303 Ta
8.6044 0.0000 0.3031 Ta
8.8769 -1.3382 3.0385 Ta
13.4887 0.0000 3.8995 Ta
6.6126 0.0000 2.5844 Os
2.6650 0.0000 0.3714 W
10.5602 0.0000 4.7975 W
```

## Properties
E_tot in eV per atom: -11.932

[4]
Here is a geometry-optimized Zr4Ge2P structure from the Alexandria database. Energies are from PBE-GGA.

Geometry as POSCAR:
```
Zr4Ge2P
1.0
1.8523 -6.3183 0.0000
1.8523 6.3183 0.0000
0.0000 0.0000 12.5010
Zr Ge P
8 4 2
Cartesian
0.0000 0.0000 0.0000 Zr
0.0000 0.0000 6.2505 Zr
1.8523 2.7561 7.8455 Zr
1.8523 2.7561 10.9061 Zr
1.8523 0.4784 3.1253 Zr
1.8523 -0.4784 9.3758 Zr
1.8523 -2.7561 1.5949 Zr
1.8523 -2.7561 4.6556 Zr
1.8523 1.7702 0.8439 Ge
1.8523 1.7702 5.4066 Ge
1.8523 -1.7702 7.0944 Ge
1.8523 -1.7702 11.6571 Ge
1.8523 4.9682 3.1253 P
1.8523 -4.9682 9.3758 P
```

## Properties
E_tot in eV per atom: -7.680

[5]
Here is a geometry-optimized ThPPt2 structure from the Alexandria database. Energies are from PBE-GGA.

Geometry as POSCAR:
```
ThPPt2
1.0
4.9249 0.0000 0.0000
-2.4624 4.2651 0.0000
0.0000 0.0000 16.9042
Th P Pt
3 3 6
Cartesian
0.0000 0.0000 0.0000 Th
0.0000 2.8434 11.2695 Th
2.4624 1.4217 5.6347 Th
0.0000 0.0000 8.4521 P
0.0000 2.8434 2.8174 P
2.4624 1.4217 14.0868 P
0.0000 0.0000 6.2669 Pt
0.0000 0.0000 10.6373 Pt
0.0000 2.8434 0.6322 Pt
0.0000 2.8434 5.0025 Pt
2.4624 1.4217 11.9017 Pt
2.4624 1.4217 16.2720 Pt
```

## Properties
E_tot in eV per atom: -6.546

[6]
Here is a geometry-optimized K3NpSc2O6 structure from the Alexandria database. Energies are from PBE-GGA.

Geometry as POSCAR:
```
K3NpSc2O6
1.0
2.9074 -5.0368 0.0000
2.9074 5.0368 0.0000
-1.9346 0.0000 6.2207
K Np Sc O
3 1 2 6
Cartesian
0.0000 0.0000 0.0000 K
2.9074 1.7042 0.0000 K
2.9074 -1.7042 0.0000 K
1.9400 0.0000 3.1103 Np
1.9400 3.3592 3.1103 Sc
1.9400 -3.3592 3.1103 Sc
0.9265 1.7552 1.9810 O
-0.0861 0.0000 4.2416 O
0.9265 -1.7552 1.9810 O
2.9536 1.7552 4.2397 O
3.9662 0.0000 1.9791 O
2.9536 -1.7552 4.2397 O
```

## Properties
Formation energy from raw total energies in meV per atom: -2539

[7]
Here is a geometry-optimized La2Pr4Dy2Tm structure from the Alexandria database. Energies are from PBE-GGA.

Geometry as POSCAR:
```
La2Pr4Dy2Tm
1.0
9.5519 -1.8515 0.0000
9.5519 1.8515 0.0000
-4.2312 0.0000 8.8389
La Pr Dy Tm
2 4 2 1
Cartesian
1.0431 0.0000 4.4008 La
13.8295 0.0000 4.4380 La
-3.1787 0.0000 7.3715 Pr
5.2942 0.0000 1.4755 Pr
9.5784 0.0000 7.3634 Pr
18.0513 0.0000 1.4674 Pr
3.2038 0.0000 7.3612 Dy
11.6688 0.0000 1.4776 Dy
7.4363 0.0000 4.4194 Tm
```

## Properties
E_tot in eV per atom: -4.728

[8]
Here is a geometry-optimized Nd5Ga3 structure from the Alexandria database. Energies are from PBE-GGA.

Geometry as POSCAR:
```
Nd5Ga3
1.0
7.8773 0.0000 0.0000
0.0000 7.8773 0.0000
0.0000 0.0000 14.6358
Nd Ga
20 12
Cartesian
0.5049 4.6662 1.5132 Nd
0.5049 7.1498 8.8311 Nd
0.7275 4.4435 5.8047 Nd
0.7275 7.3724 13.1225 Nd
1.9693 1.9693 3.1997 Nd
1.9693 1.9693 10.5176 Nd
3.2111 4.4435 13.1225 Nd
3.2111 7.3724 5.8047 Nd
3.4338 4.6662 8.8311 Nd
3.4338 7.1498 1.5132 Nd
4.4435 0.7275 13.1225 Nd
4.4435 3.2111 5.8047 Nd
4.6662 0.5049 8.8311 Nd
4.6662 3.4338 1.5132 Nd
5.9080 5.9080 4.1182 Nd
5.9080 5.9080 11.4361 Nd
7.1498 0.5049 1.5132 Nd
7.1498 3.4338 8.8311 Nd
7.3724 0.7275 5.8047 Nd
7.3724 3.2111 13.1225 Nd
1.0282 4.9668 10.9768 Ga
1.0282 6.8491 3.6589 Ga
1.9693 1.9693 0.0827 Ga
1.9693 1.9693 7.4005 Ga
2.9105 4.9668 3.6589 Ga
2.9105 6.8491 10.9768 Ga
4.9668 1.0282 3.6589 Ga
4.9668 2.9105 10.9768 Ga
5.9080 5.9080 7.2352 Ga
5.9080 5.9080 14.5531 Ga
6.8491 1.0282 10.9768 Ga
6.8491 2.9105 3.6589 Ga
```

## Properties
E_tot in eV per atom: -4.571

Values of magnetization, in order: 0.00; 0.00; 0.00; 0.00; 0.00; 4.01; 0.00; 0.00, all in μB/cell.
Values of DOS at the Fermi energy, in order: 2.70; 1.53; 9.86; 4.05; 3.30; 9.25; 12.51; 6.86, all in states/eV/f.u..